Record 1
The following is a DFT calculation (PBE) of an optimized crystal structure of K3Th2UTe6.

## Properties
For the raw total energy, the calculation gives -5.091 eV per atom. For the mass density, the calculation gives 5981 kg/m3. The volume comes out at 36.67 A^3/atom. The calculation puts the energy relative to the elements, uncorrected at -1069 meV per atom.

a = 21.329 Å, b = 4.474 Å, c = 9.909 Å
α = 90.00°, β = 111.44°, γ = 90.00°
Space group C2/m (No. 12)
Symmetry-distinct sites (fractional):
K 0.000 0.000 0.000
K 0.167 0.500 0.328
Th 0.161 0.500 0.821
U 0.000 0.000 0.500
Te 0.005 0.500 0.729
Te 0.160 0.000 0.594
Te 0.176 0.000 0.062

Record 2
The following is a DFT calculation (PBE) of an optimized crystal structure of NaTe2Au2.

## Properties
The calculation puts the energy above the most stable polymorph in this dataset at 97.0 meV per atom. For the raw total energy, the calculation gives -3.023 eV per atom. For the mass density, the calculation gives 9231 kg/m3. The volume comes out at 24.18 A^3/atom. The calculation puts the energy relative to the elements, uncorrected at -191 meV per atom.

a = 7.933 Å, b = 7.933 Å, c = 3.842 Å
α = 90.00°, β = 90.00°, γ = 90.00°
Space group P4/mbm (No. 127)
Symmetry-distinct sites (fractional):
Na 0.000 0.000 0.000
Te 0.187 0.313 0.500
Au 0.125 0.625 0.000

Record 3
The following is a DFT calculation (PBE) of an optimized crystal structure of Hf2GaH2.

## Properties
The calculation puts the energy above the most stable polymorph in this dataset at 18.9 meV per atom. For the raw total energy, the calculation gives -6.304 eV per atom. For the mass density, the calculation gives 11131 kg/m3. The volume comes out at 12.79 A^3/atom.

a = 5.534 Å, b = 9.029 Å, c = 5.709 Å
α = 90.00°, β = 116.25°, γ = 90.00°
Space group C2/c (No. 15)
Symmetry-distinct sites (fractional):
Hf 0.000 0.078 0.250
Hf 0.000 0.288 0.750
Ga 0.000 0.389 0.250
H 0.138 0.112 0.983

Record 4
The following is a DFT calculation (PBE) of an optimized crystal structure of SiHgSb3.

## Properties
The calculation puts the energy above the most stable polymorph in this dataset at 582.3 meV per atom. For the raw total energy, the calculation gives -2.463 eV per atom. For the mass density, the calculation gives 5878 kg/m3. The volume comes out at 33.56 A^3/atom. The calculation puts the energy relative to the elements, uncorrected at 1156 meV per atom.

a = 5.516 Å, b = 5.516 Å, c = 5.516 Å
α = 90.00°, β = 90.00°, γ = 90.00°
Space group Pm-3m (No. 221)
Symmetry-distinct sites (fractional):
Si 0.000 0.000 0.000
Hg 0.500 0.500 0.500
Sb 0.000 0.500 0.500